1.
The following is a GGA-PBE calculation of a geometry-optimized CuPd2Au structure, from Alexandria via LeMat-Bulk.

Summary:
* total magnetization: 0.00 Bohr magnetons per cell
* energy relative to the elements: -0.0472 eV/atom
* E above lowest polymorph: 44 meV per atom
* symmetry: No. 225

Cell lengths 4.443, 4.443, 4.443 Å; angles 60.00, 60.00, 60.00 degrees
Atoms (fractional coordinates):
Au1 0.500 0.500 0.500
Cu1 0.000 0.000 0.000
Pd1 0.250 0.250 0.250
Pd2 0.750 0.750 0.750


2.
The following is a GGA-PBE calculation of a geometry-optimized Cs2SnI5Cl structure, from Alexandria via LeMat-Bulk.

Summary:
* total magnetization: 0.00 Bohr magnetons per cell
* formation energy without anion corrections: -1.000 eV per atom
* symmetry: No. 107

Cell lengths 8.413, 8.413, 8.413 Å; angles 89.57, 120.25, 120.25 degrees
Atoms (fractional coordinates):
Cs1 0.500 0.248 0.748
Cs2 0.500 0.748 0.248
Sn1 0.000 0.996 0.996
I1 0.489 0.240 0.240
I2 0.511 0.751 0.751
I3 0.000 0.751 0.240
I4 0.000 0.240 0.751
I5 0.000 0.240 0.240
Cl1 0.000 0.786 0.786


3.
The following is a GGA-PBE calculation of a geometry-optimized AcLaPtAu structure, from Alexandria via LeMat-Bulk.

Summary:
* total magnetization: 0.00 Bohr magnetons per cell
* energy relative to the elements: -0.8958 eV/atom
* E above lowest polymorph: 59 meV per atom
* symmetry: No. 216

Cell lengths 5.354, 5.354, 5.354 Å; angles 60.00, 60.00, 60.00 degrees
Atoms (fractional coordinates):
Ac1 0.000 0.000 0.000
Au1 0.250 0.250 0.250
Pt1 0.750 0.750 0.750
La1 0.500 0.500 0.500


4.
The following is a GGA-PBE calculation of a geometry-optimized Er6TlRh3 structure, from Alexandria via LeMat-Bulk.

Summary:
* total magnetization: 0.00 Bohr magnetons per cell
* energy relative to the elements: -0.5810 eV/atom
* symmetry: No. 11

Cell lengths 4.460, 10.589, 11.652 Å; angles 112.23, 90.00, 90.00 degrees
Atoms (fractional coordinates):
Er1 0.750 0.478 0.611
Er2 0.250 0.522 0.389
Er3 0.750 0.886 0.102
Er4 0.250 0.114 0.898
Er5 0.750 0.398 0.067
Er6 0.250 0.602 0.933
Er7 0.750 0.721 0.306
Er8 0.250 0.279 0.694
Er9 0.750 0.132 0.434
Er10 0.250 0.868 0.566
Er11 0.750 0.829 0.800
Er12 0.250 0.171 0.200
Tl1 0.750 0.079 0.698
Tl2 0.250 0.921 0.302
Rh1 0.750 0.424 0.828
Rh2 0.250 0.576 0.172
Rh3 0.750 0.689 0.529
Rh4 0.250 0.311 0.471
Rh5 0.750 0.112 0.039
Rh6 0.250 0.888 0.961


5.
The following is a GGA-PBE calculation of a geometry-optimized AcSm4In4 structure, from Alexandria via LeMat-Bulk.

Summary:
* total magnetization: 0.00 Bohr magnetons per cell
* energy relative to the elements: -0.2413 eV/atom
* symmetry: No. 86

Cell lengths 6.143, 9.539, 9.539 Å; angles 90.00, 90.00, 90.00 degrees
Atoms (fractional coordinates):
Ac1 0.000 0.000 0.000
Ac2 0.500 0.500 0.500
Sm1 0.385 0.423 0.844
Sm2 0.885 0.656 0.923
Sm3 0.385 0.577 0.156
Sm4 0.115 0.077 0.656
Sm5 0.615 0.844 0.577
Sm6 0.115 0.923 0.344
Sm7 0.885 0.344 0.077
Sm8 0.615 0.156 0.423
In1 0.597 0.888 0.215
In2 0.597 0.112 0.785
In3 0.097 0.715 0.612
In4 0.903 0.388 0.715
In5 0.903 0.612 0.285
In6 0.403 0.215 0.112
In7 0.403 0.785 0.888
In8 0.097 0.285 0.388


6.
The following is a GGA-PBE calculation of a geometry-optimized YErTm5Th2 structure, from Alexandria via LeMat-Bulk.

Summary:
* total magnetization: 0.00 Bohr magnetons per cell
* energy relative to the elements: 0.3499 eV/atom
* symmetry: No. 140

Cell lengths 8.710, 8.710, 9.796 Å; angles 116.40, 116.40, 90.00 degrees
Atoms (fractional coordinates):
Y1 0.250 0.250 0.500
Y2 0.750 0.750 0.500
Er1 0.250 0.750 0.500
Er2 0.750 0.250 0.500
Tm1 0.930 0.430 0.280
Tm2 0.650 0.150 0.720
Tm3 0.070 0.570 0.720
Tm4 0.150 0.070 0.720
Tm5 0.570 0.650 0.720
Tm6 0.850 0.930 0.280
Tm7 0.430 0.350 0.280
Tm8 0.350 0.850 0.280
Tm9 0.500 0.500 0.000
Tm10 0.000 0.000 0.000
Th1 0.119 0.381 0.000
Th2 0.619 0.119 0.000
Th3 0.381 0.881 0.000
Th4 0.881 0.619 0.000


7.
The following is a GGA-PBE calculation of a geometry-optimized YMg2GaGe2 structure, from Alexandria via LeMat-Bulk.

Summary:
* total magnetization: 0.00 Bohr magnetons per cell
* energy relative to the elements: -0.3904 eV/atom
* symmetry: No. 26

Cell lengths 4.146, 6.876, 8.739 Å; angles 90.00, 90.00, 90.00 degrees
Atoms (fractional coordinates):
Y1 0.000 0.956 0.416
Y2 0.000 0.456 0.584
Mg1 0.500 0.050 0.072
Mg2 0.000 0.371 0.187
Mg3 0.500 0.550 0.928
Mg4 0.000 0.871 0.813
Ga1 0.500 0.148 0.688
Ga2 0.500 0.648 0.312
Ge1 0.000 0.260 0.884
Ge2 0.500 0.262 0.377
Ge3 0.000 0.760 0.116
Ge4 0.500 0.762 0.623


8.
The following is a GGA-PBE calculation of a geometry-optimized Tb3HPb structure, from Alexandria via LeMat-Bulk.

Summary:
* total magnetization: 0.01 Bohr magnetons per cell
* E above lowest polymorph: 0 meV per atom
* symmetry: No. 221

Cell lengths 4.858, 4.858, 4.858 Å; angles 90.00, 90.00, 90.00 degrees
Atoms (fractional coordinates):
Pb1 0.500 0.500 0.500
H1 0.000 0.000 0.000
Tb1 0.000 0.500 0.000
Tb2 0.000 0.000 0.500
Tb3 0.500 0.000 0.000


9.
The following is a GGA-PBE calculation of a geometry-optimized NaAlInAu3 structure, from Alexandria via LeMat-Bulk.

Summary:
* total magnetization: 0.00 Bohr magnetons per cell
* energy relative to the elements: -0.2774 eV/atom
* symmetry: No. 15

Cell lengths 5.993, 6.490, 7.882 Å; angles 65.69, 82.01, 70.26 degrees
Atoms (fractional coordinates):
Na1 0.250 0.231 0.539
Na2 0.750 0.769 0.461
Al1 0.750 0.012 0.977
Al2 0.250 0.988 0.023
In1 0.250 0.612 0.776
In2 0.750 0.388 0.224
Au1 0.580 0.790 0.850
Au2 0.920 0.360 0.850
Au3 0.750 0.194 0.612
Au4 0.420 0.210 0.150
Au5 0.080 0.640 0.150
Au6 0.250 0.806 0.388


10.
The following is a GGA-PBE calculation of a geometry-optimized BeTlTe2I structure, from Alexandria via LeMat-Bulk.

Summary:
* total magnetization: 0.00 Bohr magnetons per cell
* E above lowest polymorph: 0 meV per atom
* formation energy without anion corrections: 0.047 eV per atom
* symmetry: No. 123

Cell lengths 5.070, 5.070, 5.805 Å; angles 90.00, 90.00, 90.00 degrees
Atoms (fractional coordinates):
I1 0.000 0.000 0.500
Be1 0.000 0.000 0.000
Tl1 0.500 0.500 0.500
Te1 0.000 0.500 0.000
Te2 0.500 0.000 0.000


11.
The following is a GGA-PBE calculation of a geometry-optimized Cs2BePCl6 structure, from Alexandria via LeMat-Bulk.

Summary:
* total magnetization: 1.00 Bohr magnetons per cell
* formation energy without anion corrections: -1.088 eV per atom
* symmetry: No. 139

Cell lengths 7.168, 7.168, 7.426 Å; angles 61.14, 61.14, 90.00 degrees
Atoms (fractional coordinates):
Cs1 0.750 0.250 0.500
Cs2 0.250 0.750 0.500
P1 0.000 0.000 0.000
Be1 0.500 0.500 0.000
Cl1 0.214 0.214 0.571
Cl2 0.786 0.786 0.429
Cl3 0.285 0.285 0.000
Cl4 0.715 0.715 0.000
Cl5 0.715 0.285 0.000
Cl6 0.285 0.715 0.000


12.
The following is a GGA-PBE calculation of a geometry-optimized MnZnW2 structure, from Alexandria via LeMat-Bulk.

Summary:
* total magnetization: 2.03 Bohr magnetons per cell
* energy relative to the elements: 0.3021 eV/atom
* symmetry: No. 65

Cell lengths 4.921, 4.921, 2.652 Å; angles 90.00, 90.00, 114.20 degrees
Atoms (fractional coordinates):
Mn1 0.000 0.500 0.500
W1 0.000 0.000 0.000
W2 0.500 0.500 0.000
Zn1 0.500 0.000 0.500


13.
The following is a GGA-PBE calculation of a geometry-optimized Li2ReRhS structure, from Alexandria via LeMat-Bulk.

Summary:
* total magnetization: 1.87 Bohr magnetons per cell
* formation energy without anion corrections: 1.197 eV per atom
* symmetry: No. 123

Cell lengths 4.881, 4.579, 4.881 Å; angles 90.00, 90.00, 90.00 degrees
Atoms (fractional coordinates):
Re1 0.000 0.000 0.000
S1 0.500 0.500 0.500
Rh1 0.000 0.500 0.000
Li1 0.000 0.000 0.500
Li2 0.500 0.000 0.000


14.
The following is a GGA-PBE calculation of a geometry-optimized PaVIr2 structure, from Alexandria via LeMat-Bulk.

Summary:
* total magnetization: 0.00 Bohr magnetons per cell
* energy relative to the elements: -0.5169 eV/atom
* E above lowest polymorph: 39 meV per atom
* symmetry: No. 123

Cell lengths 2.969, 2.969, 7.581 Å; angles 90.00, 90.00, 90.00 degrees
Atoms (fractional coordinates):
V1 0.500 0.500 0.000
Pa1 0.500 0.500 0.500
Ir1 0.000 0.000 0.787
Ir2 0.000 0.000 0.213


15.
The following is a GGA-PBE calculation of a geometry-optimized Ho2MnNi3P4 structure, from Alexandria via LeMat-Bulk.

Summary:
* total magnetization: 0.00 Bohr magnetons per cell
* energy relative to the elements: -0.9345 eV/atom
* symmetry: No. 115

Cell lengths 3.935, 3.935, 9.195 Å; angles 90.00, 90.00, 90.00 degrees
Atoms (fractional coordinates):
Ho1 0.500 0.000 0.243
Ho2 0.000 0.500 0.757
Mn1 0.500 0.500 0.500
Ni1 0.000 0.000 0.500
Ni2 0.500 0.000 0.880
Ni3 0.000 0.500 0.120
P1 0.500 0.500 0.000
P2 0.000 0.000 0.000
P3 0.500 0.000 0.633
P4 0.000 0.500 0.367


16.
The following is a GGA-PBE calculation of a geometry-optimized CaMg3Se structure, from Alexandria via LeMat-Bulk.

Summary:
* total magnetization: 0.00 Bohr magnetons per cell
* E above lowest polymorph: 962 meV per atom
* formation energy without anion corrections: 0.863 eV per atom
* symmetry: No. 221

Cell lengths 5.957, 5.957, 5.957 Å; angles 90.00, 90.00, 90.00 degrees
Atoms (fractional coordinates):
Ca1 0.000 0.000 0.000
Mg1 0.000 0.500 0.000
Mg2 0.000 0.000 0.500
Mg3 0.500 0.000 0.000
Se1 0.500 0.500 0.500


17.
The following is a GGA-PBE calculation of a geometry-optimized LiP2IrRh structure, from Alexandria via LeMat-Bulk.

Summary:
* total magnetization: 0.00 Bohr magnetons per cell
* energy relative to the elements: -0.6579 eV/atom
* symmetry: No. 119

Cell lengths 3.974, 3.974, 5.528 Å; angles 111.07, 111.07, 90.00 degrees
Atoms (fractional coordinates):
Li1 0.000 0.000 0.000
P1 0.617 0.617 0.233
P2 0.383 0.383 0.767
Ir1 0.250 0.750 0.500
Rh1 0.750 0.250 0.500


18.
The following is a GGA-PBE calculation of a geometry-optimized ScCrP2 structure, from Alexandria via LeMat-Bulk.

Summary:
* total magnetization: 2.72 Bohr magnetons per cell
* energy relative to the elements: -0.4830 eV/atom
* E above lowest polymorph: 380 meV per atom
* symmetry: No. 10

Cell lengths 3.530, 3.126, 5.848 Å; angles 82.93, 90.00, 90.00 degrees
Atoms (fractional coordinates):
Cr1 0.500 0.750 0.750
P1 0.000 0.942 0.990
P2 0.000 0.558 0.510
Sc1 0.500 0.250 0.250


19.
The following is a GGA-PBE calculation of a geometry-optimized ZrTiCrI2 structure, from Alexandria via LeMat-Bulk.

Summary:
* total magnetization: 2.18 Bohr magnetons per cell
* formation energy without anion corrections: 0.877 eV per atom
* symmetry: No. 123

Cell lengths 5.251, 4.405, 5.251 Å; angles 90.00, 90.00, 90.00 degrees
Atoms (fractional coordinates):
I1 0.000 0.000 0.500
I2 0.500 0.000 0.000
Cr1 0.000 0.000 0.000
Zr1 0.500 0.500 0.500
Ti1 0.000 0.500 0.000


20.
The following is a GGA-PBE calculation of a geometry-optimized K5CuF8 structure, from Alexandria via LeMat-Bulk.

Summary:
* total magnetization: 0.45 Bohr magnetons per cell
* formation energy without anion corrections: -2.332 eV per atom
* symmetry: No. 82

Cell lengths 6.945, 6.945, 6.945 Å; angles 112.33, 103.90, 112.33 degrees
Atoms (fractional coordinates):
K1 0.024 0.415 0.168
K2 0.832 0.857 0.247
K3 0.753 0.585 0.609
K4 0.500 0.000 0.500
K5 0.391 0.143 0.976
Cu1 0.250 0.500 0.750
F1 0.199 0.698 0.962
F2 0.038 0.238 0.736
F3 0.729 0.205 0.310
F4 0.690 0.419 0.895
F5 0.476 0.581 0.271
F6 0.498 0.762 0.801
F7 0.264 0.302 0.502
F8 0.105 0.795 0.524